Compound: Ac2Ga3Co
Source: Alexandria via LeMat-Bulk
Functional: PBE
Structure: optimized geometry

POSCAR file:
```
Ac2Ga3Co
1.0
-2.501 -1.904 3.247
3.510 -1.942 1.565
1.303 5.996 4.519
Ga Ac Co
3 2 1
direct
0.500 0.000 0.177
0.500 0.500 0.653
0.500 0.000 0.834
0.000 0.500 0.014
0.000 0.000 0.492
0.500 0.500 0.330
```

- formation enthalpy at 0 K (eV/atom) = -0.439
- calculated volume (Å³/atom) = 24.71
- space group = Pmm2 (25)
- M_tot (Bohr magnetons per cell) = 0.00

---

Compound: Tb3SmEr8
Source: Alexandria via LeMat-Bulk
Functional: PBE
Structure: optimized geometry

POSCAR file:
```
Tb3SmEr8
1.0
-0.775 5.196 -6.538
-7.702 -3.335 0.085
0.736 0.796 8.317
Er Sm Tb
8 1 3
direct
0.835 0.168 0.668
0.832 0.582 0.748
0.500 0.832 0.668
0.834 0.667 0.168
0.166 0.917 0.749
0.166 0.418 0.250
0.832 0.083 0.250
0.501 0.333 0.167
0.166 0.000 0.166
0.167 0.500 0.667
0.500 0.251 0.751
0.500 0.749 0.250
```

- formation enthalpy at 0 K (eV/atom) = 0.008
- calculated volume (Å³/atom) = 31.56
- space group = Imm2 (44)
- M_tot (Bohr magnetons per cell) = 0.01

---

Compound: CaZn2Cu
Source: Alexandria via LeMat-Bulk
Functional: PBE
Structure: optimized geometry

POSCAR file:
```
CaZn2Cu
1.0
4.607 0.000 0.000
0.000 4.607 0.000
2.303 2.303 8.674
Ca Zn Cu
2 4 2
direct
0.500 0.500 0.000
0.250 0.750 0.500
0.875 0.067 0.750
0.817 0.125 0.250
0.375 0.183 0.750
0.933 0.625 0.250
0.000 0.000 0.000
0.750 0.250 0.500
```

- formation enthalpy at 0 K (eV/atom) = 0.005
- calculated volume (Å³/atom) = 23.01
- space group = I-42d (122)
- M_tot (Bohr magnetons per cell) = 0.00

---

Compound: Rb3H2
Source: Alexandria via LeMat-Bulk
Functional: PBE
Structure: optimized geometry

POSCAR file:
```
Rb3H2
1.0
-6.390 1.845 -3.402
-5.907 -4.553 0.424
-6.344 2.578 5.111
Rb H
6 4
direct
0.433 0.067 0.750
0.567 0.933 0.250
0.067 0.750 0.750
0.933 0.250 0.250
0.250 0.567 0.250
0.750 0.433 0.750
0.835 0.835 0.496
0.335 0.335 0.996
0.665 0.665 0.004
0.165 0.165 0.504
```

- calculated volume (Å³/atom) = 35.65
- total DFT energy (no corrections) (eV/atom) = -1.94
- space group = R-3c (167)
- M_tot (Bohr magnetons per cell) = 1.89

---

Compound: HoErScPt
Source: Alexandria via LeMat-Bulk
Functional: PBE
Structure: optimized geometry

POSCAR file:
```
HoErScPt
1.0
-4.586 1.285 -1.719
-2.406 -3.009 -3.286
-4.080 -2.611 1.476
Er Ho Pt Sc
1 1 1 1
direct
0.500 0.500 0.500
0.000 0.000 0.000
0.250 0.250 0.250
0.750 0.750 0.750
```

- formation enthalpy at 0 K (eV/atom) = -0.400
- calculated volume (Å³/atom) = 22.95
- space group = F-43m (216)
- M_tot (Bohr magnetons per cell) = 1.00

---

Compound: KFe4As
Source: Alexandria via LeMat-Bulk
Functional: PBE
Structure: optimized geometry

POSCAR file:
```
KFe4As
1.0
-3.850 2.408 2.492
-0.430 5.155 -0.263
-3.880 2.142 -2.681
Fe As K
4 1 1
direct
0.375 0.874 0.375
0.375 0.375 0.874
0.874 0.375 0.375
0.375 0.375 0.375
0.000 0.000 0.000
0.750 0.750 0.750
```

- formation enthalpy at 0 K (eV/atom) = 0.695
- calculated volume (Å³/atom) = 16.38
- space group = F-43m (216)
- M_tot (Bohr magnetons per cell) = 11.86

---

Compound: Tm4AlCd2
Source: Alexandria via LeMat-Bulk
Functional: PBE
Structure: optimized geometry

POSCAR file:
```
Tm4AlCd2
1.0
4.874 0.000 1.523
2.199 4.350 1.523
-0.079 -0.049 8.815
Tm Cd Al
4 2 1
direct
0.622 0.622 0.134
0.874 0.874 0.379
0.126 0.126 0.621
0.378 0.378 0.866
0.252 0.252 0.244
0.748 0.748 0.756
0.000 0.000 0.000
```

- formation enthalpy at 0 K (eV/atom) = -0.150
- calculated volume (Å³/atom) = 26.80
- offset from the most stable computed form (meV per atom) = 0.0
- space group = R-3m (166)
- M_tot (Bohr magnetons per cell) = 0.00

---

Compound: NdEr4
Source: Alexandria via LeMat-Bulk
Functional: PBE
Structure: optimized geometry

POSCAR file:
```
NdEr4
1.0
-0.675 -6.699 1.951
4.695 -3.291 2.918
-0.711 -0.871 9.357
Er Nd
8 2
direct
0.150 0.800 0.401
0.650 0.800 0.401
0.350 0.200 0.599
0.306 0.612 0.777
0.806 0.612 0.777
0.194 0.388 0.223
0.694 0.388 0.223
0.850 0.200 0.599
0.250 0.000 0.000
0.750 0.000 0.000
```

- formation enthalpy at 0 K (eV/atom) = 0.039
- calculated volume (Å³/atom) = 31.48
- offset from the most stable computed form (meV per atom) = 16.4
- space group = Cmmm (65)
- M_tot (Bohr magnetons per cell) = 0.00

---

Please write out number 3 again, unchanged.
Compound: CaZn2Cu
Source: Alexandria via LeMat-Bulk
Functional: PBE
Structure: optimized geometry

POSCAR file:
```
CaZn2Cu
1.0
4.607 0.000 0.000
0.000 4.607 0.000
2.303 2.303 8.674
Ca Zn Cu
2 4 2
direct
0.500 0.500 0.000
0.250 0.750 0.500
0.875 0.067 0.750
0.817 0.125 0.250
0.375 0.183 0.750
0.933 0.625 0.250
0.000 0.000 0.000
0.750 0.250 0.500
```

- formation enthalpy at 0 K (eV/atom) = 0.005
- calculated volume (Å³/atom) = 23.01
- space group = I-42d (122)
- M_tot (Bohr magnetons per cell) = 0.00

---

Q: Number 4 is which compound?
A: Rb3H2